# PBE AcLaNdTe3, relaxed
data_AcLaNdTe3
_space_group_name_H-M_alt 'P 1 21/m 1'
_space_group_IT_number 11
_space_group_name_Hall '-P 2yb'
_cell_length_a 8.889
_cell_length_b 4.654
_cell_length_c 10.941
_cell_angle_alpha 90.00
_cell_angle_beta 110.45
_cell_angle_gamma 90.00
loop_
_atom_site_label
_atom_site_fract_x
_atom_site_fract_y
_atom_site_fract_z
Ac1 0.187 0.250 0.232
La1 0.355 0.750 0.880
Nd1 0.138 0.250 0.616
Te1 0.103 0.250 0.898
Te2 0.249 0.750 0.475
Te3 0.453 0.750 0.203
# E_form (uncorrected)	-1.35	eV/atom
# density of states at the Fermi level	4.36	states/eV/f.u.
# magnetic moment	0.003	μB/f.u.
# E	-5.224	eV/atom

# PBE AcLa2Nd3Te6, relaxed
data_AcLa2Nd3Te6
_space_group_name_H-M_alt 'C 1 2/m 1'
_space_group_IT_number 12
_space_group_name_Hall '-C 2y'
_cell_length_a 19.865
_cell_length_b 4.558
_cell_length_c 9.161
_cell_angle_alpha 90.00
_cell_angle_beta 103.03
_cell_angle_gamma 90.00
loop_
_atom_site_label
_atom_site_fract_x
_atom_site_fract_y
_atom_site_fract_z
Ac1 0.000 0.000 0.000
La1 0.168 0.500 0.334
Nd1 0.000 0.000 0.500
Nd2 0.165 0.500 0.830
Te1 0.000 0.500 0.260
Te2 0.165 0.000 0.585
Te3 0.171 0.000 0.081
# E_form (uncorrected)	-1.49	eV/atom
# density of states at the Fermi level	7.35	states/eV/f.u.
# magnetic moment	0.000	μB/f.u.
# E	-5.418	eV/atom

Q: What is the E_form (uncorrected) in the first record?
A: -1.35 eV/atom